No. 1
5
Lattice="-0.664 -5.181 -2.406 0.780 -2.482 5.129 -5.659 0.266 0.989" Properties=species:S:1:pos:R:3 comment="BaTlSi3 PBE-GGA optimized geometry" raw_formation_energy_ev_per_atom=1.50 polymorph_energy_ev_per_atom=0.759 total_energy_ha_per_atom=-0.0959 pbc="T T T"
Ba 0.000 0.000 0.000
Si -0.332 -2.591 -1.203
Si 0.390 -1.241 2.565
Si -2.830 0.133 0.494
Tl -2.772 -3.699 1.856

=====

No. 2
4
Lattice="6.784 0.019 -0.008 5.656 3.746 -0.008 1.748 0.529 4.512" Properties=species:S:1:pos:R:3 comment="BaTlSi2 PBE-GGA optimized geometry" raw_formation_energy_ev_per_atom=-0.13 polymorph_energy_ev_per_atom=0.000 total_energy_ha_per_atom=-0.1438 pbc="T T T"
Si 2.222 0.672 4.313
Si 9.722 2.942 3.759
Tl 7.131 2.158 2.233
Ba 3.955 1.197 0.951

=====

No. 3
18
Lattice="2.873 -6.845 -6.726 4.357 -1.632 8.872 -9.905 -0.496 1.413" Properties=species:S:1:pos:R:3 comment="Ba6TlSi2 PBE-GGA optimized geometry" raw_formation_energy_ev_per_atom=-0.27 total_energy_ha_per_atom=-0.1110 pbc="T T T"
Ba 3.886 -7.372 0.570
Ba -1.566 -4.030 7.642
Ba 3.067 -5.807 -3.279
Ba 0.803 -3.758 -0.344
Ba -2.724 -2.009 1.242
Ba -3.101 -5.707 -0.392
Ba -5.743 -3.167 6.838
Ba 0.049 -6.965 2.317
Ba -6.561 -1.601 2.988
Ba -1.109 -4.943 -4.083
Ba 0.425 -3.266 3.951
Ba -3.478 -5.216 3.903
Si 3.045 -4.457 2.128
Si -2.733 -2.854 -2.065
Si -5.721 -4.516 1.431
Si -4.298 -4.488 -3.248
Tl 0.000 0.000 0.000
Tl -2.774 -1.064 5.142

=====

No. 4
10
Lattice="4.278 0.001 0.001 2.136 9.447 1.932 0.000 -1.417 9.975" Properties=species:S:1:pos:R:3 comment="Ba3TlSi PBE-GGA optimized geometry" raw_formation_energy_ev_per_atom=-0.30 polymorph_energy_ev_per_atom=0.000 total_energy_ha_per_atom=-0.1107 pbc="T T T"
Ba 2.208 7.123 5.589
Ba 4.348 3.269 4.895
Ba 2.208 0.354 6.669
Ba 0.072 0.270 0.251
Ba 4.346 5.625 9.146
Ba 2.207 4.126 0.945
Si 2.208 3.582 7.544
Si 4.347 2.397 8.271
Tl 2.211 0.784 3.062
Tl 4.348 6.611 2.779

=====

No. 5
4
Lattice="-1.145 4.663 -0.522 -3.205 2.770 2.319 5.684 3.877 6.703" Properties=species:S:1:pos:R:3 comment="Ba2TlSi PBE-GGA optimized geometry" raw_formation_energy_ev_per_atom=-0.06 total_energy_ha_per_atom=-0.1091 pbc="T T T"
Ba 5.380 3.824 6.447
Ba 0.971 5.709 4.506
Tl 0.333 2.828 2.125
Si 1.000 8.483 6.375

=====

No. 6
5
Lattice="-0.139 -4.548 1.749 4.577 -0.721 -1.512 4.258 -0.682 5.359" Properties=species:S:1:pos:R:3 comment="BaTl2Si2 PBE-GGA optimized geometry" raw_formation_energy_ev_per_atom=-0.04 polymorph_energy_ev_per_atom=0.000 total_energy_ha_per_atom=-0.1302 pbc="T T T"
Tl 3.169 -3.932 3.613
Tl 5.527 -2.019 1.983
Si 2.618 -2.253 1.144
Si 6.078 -3.698 4.453
Ba 0.000 0.000 0.000